Ac2BiSb: optimized geometry, PBE-GGA.

Properties
Excess energy over the best structure of this formula in the dataset   117 meV per atom
Volume   162.55 Å³ per cell

Unit cell a=4.7565 b=4.7565 c=8.7389 alpha=74.21 beta=74.21 gamma=60.00
Atoms (fractional coordinates):
Ac1 0.0829 0.0829 0.7512
Ac2 0.2504 0.2504 0.2489
Bi1 0.6676 0.6676 0.9973
Sb1 0.4991 0.4991 0.5026

***

Ac2BiSb: optimized geometry, PBE-GGA.

Properties
Excess energy over the best structure of this formula in the dataset   248 meV per atom
Volume   141.91 Å³ per cell

Unit cell a=5.8548 b=5.8548 c=5.8548 alpha=60.00 beta=60.00 gamma=60.00
Atoms (fractional coordinates):
Sb1 0.5000 0.5000 0.5000
Ac1 0.2500 0.2500 0.2500
Ac2 0.7500 0.7500 0.7500
Bi1 0.0000 0.0000 0.0000

***

Ac2BiSb: optimized geometry, PBE-GGA.

Properties
Excess energy over the best structure of this formula in the dataset   241 meV per atom
Volume   141.70 Å³ per cell

Unit cell a=4.0953 b=4.0953 c=8.4490 alpha=90.00 beta=90.00 gamma=90.00
Atoms (fractional coordinates):
Sb1 0.5000 0.5000 0.5000
Ac1 0.0000 0.0000 0.7377
Ac2 0.0000 0.0000 0.2623
Bi1 0.5000 0.5000 0.0000

***

Ac2BiSb: optimized geometry, PBE-GGA.

Properties
Excess energy over the best structure of this formula in the dataset   0 meV per atom
Volume   160.33 Å³ per cell

Unit cell a=4.8400 b=4.8390 c=8.3850 alpha=106.78 beta=90.00 gamma=120.01
Atoms (fractional coordinates):
Ac1 0.2481 0.4962 0.2453
Ac2 0.7519 0.5038 0.7547
Bi1 0.0000 0.0000 0.5000
Sb1 0.5000 0.0000 0.0000

***

Ac6Bi2Sb3Se: optimized geometry, PBE-GGA.

Properties
Volume   462.98 Å³ per cell

Unit cell a=4.7838 b=9.5572 c=10.6751 alpha=102.92 beta=102.95 gamma=90.00
Atoms (fractional coordinates):
Ac1 0.3356 0.9217 0.6713
Ac2 0.6656 0.5861 0.3311
Ac3 0.6644 0.0783 0.3287
Ac4 0.9980 0.2469 0.9961
Ac5 0.0020 0.7531 0.0039
Ac6 0.3344 0.4139 0.6689
Bi1 0.8348 0.6692 0.6697
Bi2 0.1652 0.3308 0.3303
Sb1 0.5000 0.5000 0.0000
Sb2 0.8328 0.1651 0.6656
Sb3 0.1672 0.8349 0.3344
Se1 0.5000 0.0000 0.0000

***

Ac4BiSb2Se: optimized geometry, PBE-GGA.

Properties
Volume   302.39 Å³ per cell

Unit cell a=4.7551 b=8.2156 c=8.2118 alpha=70.49 beta=90.00 gamma=90.00
Atoms (fractional coordinates):
Ac1 0.0000 0.7514 0.7448
Ac2 0.0000 0.2486 0.2552
Ac3 0.5000 0.7493 0.2540
Ac4 0.5000 0.2507 0.7460
Bi1 0.5000 0.5000 0.0000
Sb1 0.0000 0.0000 0.0000
Sb2 0.5000 0.0000 0.5000
Se1 0.0000 0.5000 0.5000

***

What did we get for formation energy (no corrections)? Answer: -384.7; -334.3; -336.7; -429.8; -1460.5; -1030.7 kJ/mol of formula units, in the order shown.
What did we get for magnetization? Answer: 0.000; 0.000; 0.000; 0.000; 0.000; 0.000 μB/cell, in the order shown.
What did we get for Fermi-level density of states? Answer: 0.20; 1.95; 2.50; 0.47; 2.52; 1.86 states/eV/cell, in the order shown.